(1)
Material: NbB3I
Method: DFT, GGA-PBEsol
State: optimized geometry

## Properties
* calculated density: 4.83 g/cm³
* polymorph energy (0 for the lowest one): 0.0 kJ/mol of atoms
* raw formation energy: 1.85 eV per atom
* DOS at the Fermi energy: 4.57 states/eV/cell

Cell and atoms, written as POSCAR:
```
NbB3I
1.0
4.427 0.000 0.000
0.000 4.427 0.000
0.000 0.000 4.427
Nb B I
1 3 1
direct
0.000 0.000 0.000 Nb
0.000 0.500 0.000 B
0.500 0.000 0.000 B
0.000 0.000 0.500 B
0.500 0.500 0.500 I
```

***

(2)
Material: Li2Mg3Si2
Method: DFT, GGA-PBEsol
State: optimized geometry

## Properties
* calculated density: 1.88 g/cm³
* raw formation energy: -0.21 eV per atom
* DOS at the Fermi energy: 0.45 states/eV/cell

Cell and atoms, written as POSCAR:
```
Li2Mg3Si2
1.0
4.460 0.000 0.000
2.230 3.863 0.000
2.230 1.288 7.316
Li Mg Si
2 3 2
direct
0.632 0.632 0.103 Li
0.255 0.255 0.235 Li
0.872 0.872 0.385 Mg
0.118 0.118 0.646 Mg
0.376 0.376 0.873 Mg
0.995 0.995 0.015 Si
0.502 0.502 0.495 Si
```

***

(3)
Material: BaRh2Cl
Method: DFT, GGA-PBEsol
State: optimized geometry

## Properties
* calculated density: 7.17 g/cm³
* polymorph energy (0 for the lowest one): 0.0 kJ/mol of atoms
* raw formation energy: 0.03 eV per atom
* DOS at the Fermi energy: 4.65 states/eV/cell

Cell and atoms, written as POSCAR:
```
BaRh2Cl
1.0
3.558 0.015 0.000
0.011 4.658 0.000
0.000 0.000 5.288
Cl Ba Rh
1 1 2
direct
0.500 0.500 0.500 Cl
0.000 0.000 0.500 Ba
0.604 0.747 0.000 Rh
0.396 0.253 0.000 Rh
```

***

(4)
Material: CsKSr3
Method: DFT, GGA-PBEsol
State: optimized geometry

## Properties
* calculated density: 1.88 g/cm³
* formation enthalpy at 0 K: 11.47 kcal/mol of atoms
* DOS at the Fermi energy: 6.16 states/eV/cell

Cell and atoms, written as POSCAR:
```
CsKSr3
1.0
-6.229 3.146 -2.051
-2.935 -1.601 6.459
2.342 6.359 2.641
Sr Cs K
3 1 1
direct
0.000 0.000 0.500 Sr
0.500 0.000 0.000 Sr
0.000 0.500 0.000 Sr
0.500 0.500 0.500 Cs
0.000 0.000 0.000 K
```

***

(5)
Material: BaPtRh
Method: DFT, GGA-PBEsol
State: optimized geometry

## Properties
* calculated density: 9.77 g/cm³
* formation enthalpy at 0 K: 20.32 kcal/mol of atoms
* DOS at the Fermi energy: 4.69 states/eV/cell

Cell and atoms, written as POSCAR:
```
BaPtRh
1.0
4.713 0.000 0.000
2.356 4.082 0.000
2.356 1.361 3.848
Ba Rh Pt
1 1 1
direct
0.250 0.250 0.250 Ba
0.500 0.500 0.500 Rh
0.000 0.000 0.000 Pt
```

***

(6)
Material: La2TiZnO6
Method: DFT, GGA-PBEsol
State: optimized geometry

## Properties
* calculated density: 6.63 g/cm³
* polymorph energy (0 for the lowest one): 0.0 kJ/mol of atoms
* raw formation energy: -3.03 eV per atom
* DOS at the Fermi energy: 0.00 states/eV/cell

Cell and atoms, written as POSCAR:
```
La2TiZnO6
1.0
5.533 0.000 -0.001
0.000 5.622 0.000
0.007 0.000 7.843
La O Ti Zn
4 12 2 2
direct
0.991 0.956 0.751 La
0.009 0.044 0.249 La
0.491 0.544 0.251 La
0.509 0.456 0.749 La
0.199 0.783 0.453 O
0.301 0.283 0.047 O
0.218 0.800 0.044 O
0.699 0.717 0.953 O
0.718 0.700 0.544 O
0.782 0.200 0.956 O
0.801 0.217 0.547 O
0.586 0.977 0.241 O
0.414 0.023 0.759 O
0.914 0.477 0.259 O
0.282 0.300 0.456 O
0.086 0.523 0.741 O
0.000 0.500 0.500 Ti
0.500 0.000 0.000 Ti
0.500 0.000 0.500 Zn
0.000 0.500 0.000 Zn
```